Entry 1:
Here is a relaxed structure of Ni3Sb from Alexandria via LeMat-Bulk. Energies are from PBE.

Geometry as CIF:
```
data_Ni3Sb
_cell_length_a 3.752
_cell_length_b 3.763
_cell_length_c 7.350
_cell_angle_alpha 90.00
_cell_angle_beta 90.00
_cell_angle_gamma 90.00
_symmetry_space_group_name_H-M 'I m m m'
_symmetry_Int_Tables_number 71
_symmetry_space_group_name_Hall '-I 2 2'
loop_
_atom_site_label
_atom_site_type_symbol
_atom_site_fract_x
_atom_site_fract_y
_atom_site_fract_z
Ni1 Ni 0.000 0.000 0.000
Ni2 Ni 0.000 0.500 0.250
Sb1 Sb 0.000 0.000 0.500
```

Energy above the lowest structure with this stoichiometry (meV/atom): 23

Entry 2:
Here is a relaxed structure of VZnH from Alexandria via LeMat-Bulk. Energies are from PBE.

Geometry as CIF:
```
data_VZnH
_cell_length_a 3.255
_cell_length_b 3.255
_cell_length_c 6.203
_cell_angle_alpha 90.00
_cell_angle_beta 90.00
_cell_angle_gamma 90.00
_symmetry_space_group_name_H-M 'P 4/n m m'
_symmetry_Int_Tables_number 129
loop_
_symmetry_equiv_pos_as_xyz
'x,y,z'
'-x,-y,-z'
'-y+1/2,x,z'
'y+1/2,-x,-z'
'-x+1/2,-y+1/2,z'
'x+1/2,y+1/2,-z'
'y,-x+1/2,z'
'-y,x+1/2,-z'
'x+1/2,-y,-z'
'-x+1/2,y,z'
'-y,-x,-z'
'y,x,z'
'-x,y+1/2,-z'
'x,-y+1/2,z'
'y+1/2,x+1/2,-z'
'-y+1/2,-x+1/2,z'
loop_
_atom_site_label
_atom_site_type_symbol
_atom_site_fract_x
_atom_site_fract_y
_atom_site_fract_z
V1 V 0.250 0.250 0.105
Zn1 Zn 0.250 0.750 0.500
H1 H 0.250 0.250 0.823
```

Energy above the lowest structure with this stoichiometry (meV/atom): 376

Entry 3:
Here is a relaxed structure of Dy2Ag2RhO6 from Alexandria via LeMat-Bulk. Energies are from PBE.

Geometry as CIF:
```
data_Dy2Ag2RhO6
_cell_length_a 5.770
_cell_length_b 10.200
_cell_length_c 6.404
_cell_angle_alpha 90.00
_cell_angle_beta 100.55
_cell_angle_gamma 90.00
_symmetry_space_group_name_H-M 'C 1 2/m 1'
_symmetry_Int_Tables_number 12
_symmetry_space_group_name_Hall '-C 2y'
loop_
_atom_site_label
_atom_site_type_symbol
_atom_site_fract_x
_atom_site_fract_y
_atom_site_fract_z
Dy1 Dy 0.000 0.162 0.000
Ag1 Ag 0.000 0.351 0.500
Rh1 Rh 0.000 0.500 0.000
O1 O 0.114 0.345 0.830
O2 O 0.164 0.000 0.843
```

E (eV for the cell shown): -142.29

Entry 4:
Here is a relaxed structure of IrCSN2 from Alexandria via LeMat-Bulk. Energies are from PBE.

Geometry as CIF:
```
data_IrCSN2
_cell_length_a 3.542
_cell_length_b 3.542
_cell_length_c 3.764
_cell_angle_alpha 90.00
_cell_angle_beta 90.00
_cell_angle_gamma 90.00
_symmetry_space_group_name_H-M 'P 4/m m m'
_symmetry_Int_Tables_number 123
_symmetry_space_group_name_Hall '-P 4 2'
loop_
_atom_site_label
_atom_site_type_symbol
_atom_site_fract_x
_atom_site_fract_y
_atom_site_fract_z
Ir1 Ir 0.000 0.000 0.000
C1 C 0.500 0.500 0.500
S1 S 0.500 0.500 0.000
N1 N 0.000 0.500 0.500
```

Energy above the lowest structure with this stoichiometry (meV/atom): 209